An optimized crystal structure of Ca6Ni2Bi, computed with PBE.

abc: 8.786 8.786 8.786
angles: 106.48 112.23 109.76
Positions (direct):
Ca: 0.524 0.816 0.708
Ca: 0.476 0.184 0.292
Ca: 0.109 0.816 0.292
Ca: 0.891 0.184 0.708
Ca: 0.784 0.014 0.230
Ca: 0.216 0.986 0.770
Ca: 0.216 0.446 0.230
Ca: 0.784 0.554 0.770
Ca: 0.696 0.323 0.020
Ca: 0.304 0.677 0.980
Ca: 0.304 0.323 0.627
Ca: 0.696 0.677 0.373
Ni: 0.500 0.112 0.612
Ni: 0.500 0.888 0.388
Ni: 0.616 0.616 0.000
Ni: 0.384 0.384 0.000
Bi: 0.000 0.500 0.500
Bi: 0.000 0.000 0.000

Properties
ΔH_f (0 K): -0.303 eV per atom
Uncorrected energy: -3.35 eV/atom
SG: Immm (71)
V: 28.93 A^3/atom
Calculated density: 3615 kg/m3